## Tb4Cd5Au2 (PBE)

Data for crystalline Tb4Cd5Au2 at its relaxed geometry.

```
Tb4Cd5Au2
1.0
7.738 0.000 0.000
0.000 3.566 0.000
-0.734 0.000 9.982
Tb Cd Au
4 5 2
direct
0.166 0.000 0.369
0.244 0.000 0.946
0.756 0.000 0.054
0.834 0.000 0.631
0.191 0.500 0.654
0.451 0.500 0.194
0.500 0.500 0.500
0.549 0.500 0.806
0.809 0.500 0.346
0.066 0.500 0.139
0.934 0.500 0.861
```

D(E_F) (states/eV/atom): 0.60
Uncorrected energy (eV per cell): -34.8
Space-group type: P2/m (10)